Record 1
Material: TbSmHfN3
Method: DFT, PBE
State: optimized geometry

Properties
V ... 16.61 Å³ per atom
Fermi-level density of states ... 0.26 states/eV per atom
E_form (uncorrected) ... -134.7 kJ/mol of atoms

Cell and atoms, written as CIF:
```
data_TbSmHfN3
_symmetry_space_group_name_H-M 'P 1 21/m 1'
_symmetry_Int_Tables_number 11
_cell_length_a 6.3187
_cell_length_b 3.2856
_cell_length_c 9.6202
_cell_angle_alpha 90.00
_cell_angle_beta 93.58
_cell_angle_gamma 90.00
loop_
_symmetry_equiv_pos_as_xyz
'x,y,z'
'-x,-y,-z'
'-x,y+1/2,-z'
'x,-y+1/2,z'
loop_
_atom_site_label
_atom_site_type_symbol
_atom_site_fract_x
_atom_site_fract_y
_atom_site_fract_z
Tb1 Tb 0.2136 0.2500 0.0751
Sm1 Sm 0.1652 0.2500 0.7168
Hf1 Hf 0.3441 0.7500 0.3960
N1 N 0.1364 0.2500 0.3379
N2 N 0.1589 0.7500 0.9167
N3 N 0.4020 0.7500 0.6105
```

Record 2
Material: ZnCr2Ge2
Method: DFT, PBE
State: optimized geometry

Properties
V ... 14.13 Å³ per atom
Energy above the lowest structure with this stoichiometry ... 0.00 eV per formula unit
Fermi-level density of states ... 0.78 states/eV per atom
ΔE_f ... 152 meV per atom

Cell and atoms, written as CIF:
```
data_ZnCr2Ge2
_symmetry_space_group_name_H-M 'P 4/m b m'
_symmetry_Int_Tables_number 127
_symmetry_space_group_name_Hall '-P 4 2ab'
_cell_length_a 6.6069
_cell_length_b 6.6069
_cell_length_c 3.2371
_cell_angle_alpha 90.00
_cell_angle_beta 90.00
_cell_angle_gamma 90.00
loop_
_atom_site_label
_atom_site_type_symbol
_atom_site_fract_x
_atom_site_fract_y
_atom_site_fract_z
Zn1 Zn 0.0000 0.0000 0.0000
Cr1 Cr 0.1425 0.3575 0.0000
Ge1 Ge 0.1529 0.6529 0.5000
```

Record 3
Material: HfNpSb2
Method: DFT, PBE
State: optimized geometry

Properties
V ... 27.34 Å³ per atom
Energy above the lowest structure with this stoichiometry ... 0.00 eV per formula unit
Fermi-level density of states ... 2.85 states/eV per atom
E_form (uncorrected) ... -22.5 kJ/mol of atoms

Cell and atoms, written as CIF:
```
data_HfNpSb2
_symmetry_space_group_name_H-M 'R 3 m'
_symmetry_Int_Tables_number 160
_symmetry_space_group_name_Hall 'R 3 -2"'
_cell_length_a 4.1358
_cell_length_b 4.1358
_cell_length_c 22.1507
_cell_angle_alpha 90.00
_cell_angle_beta 90.00
_cell_angle_gamma 120.00
loop_
_atom_site_label
_atom_site_type_symbol
_atom_site_fract_x
_atom_site_fract_y
_atom_site_fract_z
Hf1 Hf 0.0000 0.0000 0.0000
Np1 Np 0.0000 0.0000 0.1714
Sb1 Sb 0.0000 0.0000 0.5905
Sb2 Sb 0.0000 0.0000 0.7468
```

Record 4
Material: CeY2Ru4
Method: DFT, PBE
State: optimized geometry

Properties
V ... 20.67 Å³ per atom
Fermi-level density of states ... 1.19 states/eV per atom
ΔE_f ... 236 meV per atom

Cell and atoms, written as CIF:
```
data_CeY2Ru4
_symmetry_space_group_name_H-M 'I 4/m m m'
_symmetry_Int_Tables_number 139
_symmetry_space_group_name_Hall '-I 4 2'
_cell_length_a 6.6369
_cell_length_b 6.6369
_cell_length_c 6.5710
_cell_angle_alpha 90.00
_cell_angle_beta 90.00
_cell_angle_gamma 90.00
loop_
_atom_site_label
_atom_site_type_symbol
_atom_site_fract_x
_atom_site_fract_y
_atom_site_fract_z
Ce1 Ce 0.0000 0.0000 0.0000
Y1 Y 0.0000 0.5000 0.0000
Ru1 Ru 0.2500 0.2500 0.2500
```

Record 5
Material: LiLuTlHg
Method: DFT, PBE
State: optimized geometry

Properties
V ... 22.49 Å³ per atom
Fermi-level density of states ... 0.57 states/eV per atom
ΔE_f ... -345 meV per atom

Cell and atoms, written as CIF:
```
data_LiLuTlHg
_symmetry_space_group_name_H-M 'F -4 3 m'
_symmetry_Int_Tables_number 216
_symmetry_space_group_name_Hall 'F -4 2 3'
_cell_length_a 7.1123
_cell_length_b 7.1123
_cell_length_c 7.1123
_cell_angle_alpha 90.00
_cell_angle_beta 90.00
_cell_angle_gamma 90.00
loop_
_atom_site_label
_atom_site_type_symbol
_atom_site_fract_x
_atom_site_fract_y
_atom_site_fract_z
Li1 Li 0.0000 0.0000 0.0000
Lu1 Lu 0.0000 0.0000 0.5000
Tl1 Tl 0.2500 0.2500 0.7500
Hg1 Hg 0.2500 0.2500 0.2500
```

Record 6
Material: AlVOs
Method: DFT, PBE
State: optimized geometry

Properties
V ... 17.11 Å³ per atom
Fermi-level density of states ... 1.04 states/eV per atom
ΔE_f ... 65 meV per atom

Cell and atoms, written as CIF:
```
data_AlVOs
_symmetry_space_group_name_H-M 'P m m a'
_symmetry_Int_Tables_number 51
_cell_length_a 5.7934
_cell_length_b 2.8702
_cell_length_c 6.1750
_cell_angle_alpha 90.00
_cell_angle_beta 90.00
_cell_angle_gamma 90.00
loop_
_symmetry_equiv_pos_as_xyz
'x,y,z'
'-x,-y,-z'
'-x+1/2,-y,z'
'x+1/2,y,-z'
'x+1/2,-y,-z'
'-x+1/2,y,z'
'-x,y,-z'
'x,-y,z'
loop_
_atom_site_label
_atom_site_type_symbol
_atom_site_fract_x
_atom_site_fract_y
_atom_site_fract_z
Al1 Al 0.0000 0.0000 0.0000
V1 V 0.0000 0.0000 0.5000
Os1 Os 0.2500 0.5000 0.2565
```